1.
PBE-GGA InAs2Se, relaxed; M_tot = 0.0 μB/cell; energy above the lowest structure with this stoichiometry = 240.8 meV per atom; uncorrected formation energy = 0.10 eV per atom; calculated total energy = -0.1388 Ha/atom
1.0
3.720 0.000 0.000
0.000 3.986 0.000
0.000 0.000 12.793
In As Se
2 4 2
direct
0.000 0.000 0.000
0.500 0.500 0.500
0.000 0.000 0.602
0.000 0.500 0.244
0.500 0.000 0.744
0.500 0.500 0.102
0.000 0.500 0.834
0.500 0.000 0.334

2.
PBE-GGA InAs2Se, relaxed; M_tot = 0.0 μB/cell; energy above the lowest structure with this stoichiometry = 123.5 meV per atom; uncorrected formation energy = -0.01 eV per atom; calculated total energy = -0.1431 Ha/atom
1.0
4.891 0.000 0.000
0.000 4.009 0.000
-1.380 0.000 4.940
In As Se
1 2 1
direct
0.000 0.000 0.000
0.304 0.500 0.790
0.696 0.500 0.210
0.500 0.000 0.500

3.
PBE-GGA In4AsSe3, relaxed; M_tot = 0.0 μB/cell; uncorrected formation energy = -0.31 eV per atom; calculated total energy = -0.1311 Ha/atom
1.0
8.113 0.000 0.000
0.000 8.807 0.000
0.000 0.000 6.782
In As Se
8 2 6
direct
0.000 0.084 0.000
0.000 0.793 0.470
0.192 0.351 0.502
0.308 0.649 0.002
0.500 0.207 0.970
0.500 0.916 0.500
0.692 0.649 0.002
0.808 0.351 0.502
0.000 0.783 0.080
0.500 0.217 0.580
0.000 0.073 0.601
0.215 0.325 0.080
0.285 0.675 0.580
0.500 0.927 0.101
0.715 0.675 0.580
0.785 0.325 0.080

4.
PBE-GGA InSnAsSe2, relaxed; M_tot = 1.5 μB/cell; energy above the lowest structure with this stoichiometry = 0.0 meV per atom; uncorrected formation energy = 0.39 eV per atom; calculated total energy = -0.1205 Ha/atom
1.0
5.737 0.000 0.000
0.000 5.737 0.000
0.000 0.000 5.655
In Sn As Se
1 1 1 2
direct
0.000 0.000 0.000
0.500 0.500 0.500
0.500 0.500 0.000
0.000 0.500 0.500
0.500 0.000 0.500

5.
PBE-GGA SrInAs2Se, relaxed; M_tot = 0.0 μB/cell; energy above the lowest structure with this stoichiometry = 0.0 meV per atom; uncorrected formation energy = -0.11 eV per atom; calculated total energy = -0.1304 Ha/atom
1.0
5.254 0.000 0.000
0.000 5.254 0.000
0.000 0.000 5.523
Sr In As Se
1 1 2 1
direct
0.000 0.000 0.000
0.500 0.500 0.500
0.000 0.500 0.500
0.500 0.000 0.500
0.500 0.500 0.000

6.
PBE-GGA SrInAsSe2, relaxed; M_tot = 3.2 μB/cell; energy above the lowest structure with this stoichiometry = 565.5 meV per atom; uncorrected formation energy = 0.19 eV per atom; calculated total energy = -0.1110 Ha/atom
1.0
5.887 0.000 0.000
0.000 5.887 0.000
0.000 0.000 6.056
Sr In As Se
1 1 1 2
direct
0.000 0.000 0.000
0.500 0.500 0.500
0.000 0.000 0.500
0.000 0.500 0.000
0.500 0.000 0.000

7.
PBE-GGA SrInAsSe2, relaxed; M_tot = 0.9 μB/cell; energy above the lowest structure with this stoichiometry = 0.0 meV per atom; uncorrected formation energy = -0.38 eV per atom; calculated total energy = -0.1318 Ha/atom
1.0
5.420 0.000 0.000
0.000 5.420 0.000
0.000 0.000 5.144
Sr In As Se
1 1 1 2
direct
0.000 0.000 0.000
0.500 0.500 0.500
0.500 0.500 0.000
0.000 0.500 0.500
0.500 0.000 0.500

8.
PBE-GGA SrInAs2Se, relaxed; M_tot = 1.5 μB/cell; energy above the lowest structure with this stoichiometry = 599.3 meV per atom; uncorrected formation energy = 0.49 eV per atom; calculated total energy = -0.1084 Ha/atom
1.0
5.870 0.000 0.000
0.000 5.870 0.000
0.000 0.000 5.850
Sr In As Se
1 1 2 1
direct
0.000 0.000 0.000
0.500 0.500 0.500
0.000 0.500 0.000
0.500 0.000 0.000
0.000 0.000 0.500